No. 1
Here is crystalline Na8Tl2Au3 at its relaxed geometry from the Alexandria database. Energies are from PBE-GGA.

DOS at the Fermi energy (states/eV/f.u.): 5.0
E_form (eV per atom): -0.13
Space-group type: P2/m, No. 10

Unit cell a=5.336 b=10.017 c=8.649 alpha=125.35 beta=90.00 gamma=90.00
Positions (direct):
Na  0.500  0.840  0.223
Na  0.000  0.633  0.264
Na  0.500  0.614  0.770
Na  0.500  0.160  0.777
Na  0.000  0.890  0.779
Na  0.000  0.367  0.736
Na  0.500  0.386  0.230
Na  0.000  0.110  0.221
Tl  0.500  0.779  0.554
Tl  0.500  0.221  0.446
Au  0.000  0.735  0.998
Au  0.000  0.265  0.002
Au  0.500  0.000  0.000


No. 2
Here is crystalline Na8Tl3Au2 at its relaxed geometry from the Alexandria database. Energies are from PBE-GGA.

DOS at the Fermi energy (states/eV/f.u.): 4.6
E_form (eV per atom): -0.17
Space-group type: P2/m, No. 10

Unit cell a=4.913 b=7.494 c=9.995 alpha=77.30 beta=90.00 gamma=90.00
Positions (direct):
Na  0.000  0.632  0.603
Na  0.000  0.166  0.759
Na  0.000  0.834  0.241
Na  0.500  0.559  0.155
Na  0.500  0.907  0.669
Na  0.500  0.093  0.331
Na  0.500  0.441  0.845
Na  0.000  0.368  0.397
Au  0.500  0.319  0.575
Au  0.500  0.681  0.425
Tl  0.500  0.000  0.000
Tl  0.000  0.279  0.081
Tl  0.000  0.721  0.919


No. 3
Here is crystalline NaTl5Au at its relaxed geometry from the Alexandria database. Energies are from PBE-GGA.

DOS at the Fermi energy (states/eV/f.u.): 2.8
E_form (eV per atom): -0.05
Space-group type: P4/mmm, No. 123

Unit cell a=5.016 b=5.016 c=8.025 alpha=90.00 beta=90.00 gamma=90.00
Positions (direct):
Tl  0.500  0.500  0.000
Tl  0.500  0.000  0.288
Tl  0.000  0.500  0.288
Tl  0.000  0.500  0.712
Tl  0.500  0.000  0.712
Na  0.000  0.000  0.000
Au  0.000  0.000  0.500


No. 4
Here is crystalline Na5Tl2Au2 at its relaxed geometry from the Alexandria database. Energies are from PBE-GGA.

Energy above the lowest structure with this stoichiometry (kJ/mol of atoms): 2.0
DOS at the Fermi energy (states/eV/f.u.): 4.2
E_form (eV per atom): -0.15
Space-group type: Cmce, No. 64

Unit cell a=7.357 b=7.461 c=9.879 alpha=112.19 beta=90.00 gamma=90.00
Positions (direct):
Tl  0.500  0.733  0.467
Tl  0.000  0.767  0.533
Tl  0.000  0.233  0.467
Tl  0.500  0.267  0.533
Na  0.324  0.944  0.238
Na  0.176  0.444  0.238
Na  0.500  0.500  0.000
Na  0.676  0.056  0.762
Na  0.824  0.794  0.238
Na  0.176  0.206  0.762
Na  0.676  0.294  0.238
Na  0.324  0.706  0.762
Na  0.000  0.000  0.000
Na  0.824  0.556  0.762
Au  0.628  0.867  0.000
Au  0.372  0.133  0.000
Au  0.128  0.633  0.000
Au  0.872  0.367  0.000


No. 5
Here is crystalline Na4TlAu2 at its relaxed geometry from the Alexandria database. Energies are from PBE-GGA.

DOS at the Fermi energy (states/eV/f.u.): 2.3
E_form (eV per atom): -0.18
Space-group type: R-3m, No. 166

Unit cell a=4.909 b=4.909 c=10.345 alpha=76.27 beta=76.27 gamma=60.00
Positions (direct):
Na  0.393  0.393  0.822
Na  0.607  0.607  0.178
Na  0.800  0.800  0.600
Na  0.200  0.200  0.400
Au  0.903  0.903  0.290
Au  0.097  0.097  0.710
Tl  0.000  0.000  0.000


No. 6
Here is crystalline NaTlAu2 at its relaxed geometry from the Alexandria database. Energies are from PBE-GGA.

DOS at the Fermi energy (states/eV/f.u.): 0.9
E_form (eV per atom): -0.02
Space-group type: R3m, No. 160

Unit cell a=4.235 b=4.235 c=7.493 alpha=73.59 beta=73.59 gamma=60.00
Positions (direct):
Na  0.668  0.668  0.996
Au  0.246  0.246  0.261
Au  0.087  0.087  0.739
Tl  0.499  0.499  0.503


No. 7
Here is crystalline NaTlAu2 at its relaxed geometry from the Alexandria database. Energies are from PBE-GGA.

DOS at the Fermi energy (states/eV/f.u.): 1.6
E_form (eV per atom): -0.12
Space-group type: P4/mmm, No. 123

Unit cell a=3.701 b=3.701 c=6.577 alpha=90.00 beta=90.00 gamma=90.00
Positions (direct):
Au  0.000  0.000  0.228
Au  0.000  0.000  0.772
Tl  0.500  0.500  0.500
Na  0.500  0.500  0.000


No. 8
Here is crystalline Na2Tl8Au at its relaxed geometry from the Alexandria database. Energies are from PBE-GGA.

Energy above the lowest structure with this stoichiometry (kJ/mol of atoms): 1.9
DOS at the Fermi energy (states/eV/f.u.): 5.2
E_form (eV per atom): -0.05
Space-group type: C2/m, No. 12

Unit cell a=5.544 b=6.494 c=9.298 alpha=92.89 beta=107.35 gamma=90.00
Positions (direct):
Tl  0.657  0.882  0.314
Tl  0.035  0.749  0.069
Tl  0.965  0.251  0.931
Tl  0.343  0.118  0.686
Tl  0.586  0.404  0.171
Tl  0.414  0.596  0.829
Tl  0.843  0.816  0.686
Tl  0.157  0.184  0.314
Na  0.776  0.328  0.552
Na  0.224  0.672  0.448
Au  0.500  0.000  0.000


No. 9
Here is crystalline Na2TlAu at its relaxed geometry from the Alexandria database. Energies are from PBE-GGA.

DOS at the Fermi energy (states/eV/f.u.): 1.4
E_form (eV per atom): -0.18
Space-group type: I4/mmm, No. 139

Unit cell a=4.537 b=5.698 c=5.698 alpha=47.03 beta=66.54 gamma=66.54
Positions (direct):
Na  0.000  0.000  0.000
Na  0.500  0.500  0.500
Tl  0.250  0.250  0.250
Au  0.750  0.750  0.750


No. 10
Here is crystalline Na5Tl4Au2 at its relaxed geometry from the Alexandria database. Energies are from PBE-GGA.

DOS at the Fermi energy (states/eV/f.u.): 4.4
E_form (eV per atom): -0.18
Space-group type: Pbam, No. 55

Unit cell a=4.044 b=8.063 c=17.899 alpha=90.00 beta=90.00 gamma=90.00
Positions (direct):
Na  0.000  0.772  0.287
Na  0.000  0.385  0.419
Na  0.000  0.500  0.000
Na  0.000  0.728  0.787
Na  0.000  0.272  0.213
Na  0.000  0.115  0.919
Na  0.000  0.615  0.581
Na  0.000  0.000  0.500
Na  0.000  0.228  0.713
Na  0.000  0.885  0.081
Tl  0.500  0.896  0.651
Tl  0.500  0.203  0.063
Tl  0.500  0.797  0.937
Tl  0.500  0.396  0.849
Tl  0.500  0.104  0.349
Tl  0.500  0.297  0.563
Tl  0.500  0.703  0.437
Tl  0.500  0.604  0.151
Au  0.500  0.022  0.804
Au  0.500  0.978  0.196
Au  0.500  0.522  0.696
Au  0.500  0.478  0.304


No. 11
Here is crystalline Na2TlAu at its relaxed geometry from the Alexandria database. Energies are from PBE-GGA.

DOS at the Fermi energy (states/eV/f.u.): 1.1
E_form (eV per atom): -0.20
Space-group type: P4/mmm, No. 123

Unit cell a=3.634 b=3.634 c=7.546 alpha=90.00 beta=90.00 gamma=90.00
Positions (direct):
Tl  0.500  0.500  0.500
Na  0.000  0.000  0.214
Na  0.000  0.000  0.786
Au  0.500  0.500  0.000


No. 12
Here is crystalline NaTlAu at its relaxed geometry from the Alexandria database. Energies are from PBE-GGA.

DOS at the Fermi energy (states/eV/f.u.): 1.0
E_form (eV per atom): -0.17
Space-group type: P-1, No. 2

Unit cell a=5.125 b=5.118 c=8.124 alpha=108.25 beta=107.84 gamma=119.84
Positions (direct):
Au  0.579  0.914  0.247
Au  0.421  0.086  0.753
Na  0.080  0.412  0.747
Na  0.920  0.588  0.253
Tl  0.000  0.000  0.000
Tl  0.500  0.500  0.500